{"formula": "NaAc2CrO5", "functional": "PBE with a Hubbard U", "state": "relaxed", "magnetic_moment_mub_per_fu": 2.99, "energy_ev_per_atom": -7.0971, "space_group": "P4/mbm (127)", "lattice_angstrom": [[7.1635, 0.0000, 0.0000], [0.0000, 7.1635, 0.0000], [0.0000, 0.0000, 5.8980]], "species": ["Na", "Na", "Ac", "Ac", "Ac", "Ac", "Cr", "Cr", "O", "O", "O", "O", "O", "O", "O", "O", "O", "O"], "fractional_positions": [[0.0000, 0.0000, 0.0000], [0.5000, 0.5000, 0.0000], [0.1814, 0.3186, 0.5000], [0.3186, 0.8186, 0.5000], [0.6814, 0.1814, 0.5000], [0.8186, 0.6814, 0.5000], [0.0000, 0.5000, 0.0000], [0.5000, 0.0000, 0.0000], [0.0000, 0.0000, 0.5000], [0.1298, 0.6298, 0.2360], [0.1298, 0.6298, 0.7640], [0.3702, 0.1298, 0.2360], [0.3702, 0.1298, 0.7640], [0.5000, 0.5000, 0.5000], [0.6298, 0.8702, 0.2360], [0.6298, 0.8702, 0.7640], [0.8702, 0.3702, 0.2360], [0.8702, 0.3702, 0.7640]]}